No. 1
This record from Alexandria via LeMat-Bulk describes Sm6As4P after structural relaxation. The functional is PBE-GGA.

abc: 4.1458 7.2168 20.7502
angles: 90.00 90.00 106.69
Sites, in units of the cell vectors:
Sm1 0.5000 0.0000 0.0000
Sm2 0.5000 0.0000 0.5000
Sm3 0.0489 0.0978 0.3342
Sm4 0.9511 0.9022 0.6658
Sm5 0.9511 0.9022 0.8342
Sm6 0.0489 0.0978 0.1658
Sm7 0.7751 0.5503 0.4164
Sm8 0.2249 0.4497 0.5836
Sm9 0.2249 0.4497 0.9164
Sm10 0.7751 0.5503 0.0836
Sm11 0.3062 0.6125 0.2500
Sm12 0.6938 0.3875 0.7500
As1 0.8627 0.7254 0.5433
As2 0.4107 0.8214 0.1307
As3 0.1373 0.2746 0.4567
As4 0.5893 0.1786 0.8693
As5 0.8627 0.7254 0.9567
As6 0.1373 0.2746 0.0433
As7 0.5893 0.1786 0.6307
As8 0.4107 0.8214 0.3693
P1 0.6627 0.3255 0.2500
P2 0.3373 0.6745 0.7500

## Properties
Energy of formation from the pure elements = -1.356 eV per atom
Total moment = 0.00 μB/cell
DFT total energy = -134.48 eV/cell

No. 2
This record from Alexandria via LeMat-Bulk describes Sm5As2P2 after structural relaxation. The functional is PBE-GGA.

abc: 7.8185 7.7144 8.3020
angles: 117.69 90.00 90.00
Sites, in units of the cell vectors:
Sm1 0.0000 0.0000 0.0000
Sm2 0.5000 0.5000 0.0000
Sm3 0.8418 0.7954 0.2676
Sm4 0.1582 0.4722 0.2676
Sm5 0.3418 0.9722 0.2676
Sm6 0.6582 0.2954 0.2676
Sm7 0.1582 0.2046 0.7324
Sm8 0.8418 0.5278 0.7324
Sm9 0.6582 0.0278 0.7324
Sm10 0.3418 0.7046 0.7324
As1 0.0000 0.1995 0.3991
As2 0.5000 0.6995 0.3991
As3 0.0000 0.8005 0.6009
As4 0.5000 0.3005 0.6009
P1 0.6439 0.8558 0.0000
P2 0.3561 0.1442 0.0000
P3 0.1439 0.6442 0.0000
P4 0.8561 0.3558 0.0000

## Properties
Energy of formation from the pure elements = -1.296 eV per atom
Total moment = 0.00 μB/cell
DFT total energy = -110.77 eV/cell

No. 3
This record from Alexandria via LeMat-Bulk describes Sm2AsP after structural relaxation. The functional is PBE-GGA.

abc: 4.1605 4.1605 7.2092
angles: 89.99 106.78 120.00
Sites, in units of the cell vectors:
Sm1 0.5044 0.2522 0.7567
Sm2 0.4956 0.7478 0.2433
As1 0.0000 0.5000 0.5000
P1 0.0000 0.0000 0.0000

## Properties
Energy of formation from the pure elements = -1.547 eV per atom
Total moment = 0.00 μB/cell
DFT total energy = -25.69 eV/cell
Energy relative to the lowest polymorph listed for this composition = 0 meV per atom

No. 4
This record from Alexandria via LeMat-Bulk describes Sm3AsP after structural relaxation. The functional is PBE-GGA.

abc: 8.0435 8.0488 8.0435
angles: 90.00 94.43 90.00
Sites, in units of the cell vectors:
Sm1 0.1905 0.5851 0.9950
Sm2 0.9950 0.9149 0.1905
Sm3 0.8095 0.4149 0.0050
Sm4 0.0050 0.0851 0.8095
Sm5 0.5726 0.8043 0.0724
Sm6 0.0724 0.6957 0.5726
Sm7 0.4274 0.1957 0.9276
Sm8 0.9276 0.3043 0.4274
Sm9 0.4939 0.5851 0.6909
Sm10 0.6909 0.9149 0.4939
Sm11 0.5061 0.4149 0.3091
Sm12 0.3091 0.0851 0.5061
As1 0.1593 0.2500 0.1593
As2 0.8407 0.7500 0.8407
As3 0.6583 0.2500 0.6583
As4 0.3417 0.7500 0.3417
P1 0.3077 0.8775 0.8091
P2 0.8091 0.6225 0.3077
P3 0.6923 0.1225 0.1909
P4 0.1909 0.3775 0.6923

## Properties
Energy of formation from the pure elements = -1.068 eV per atom
Total moment = 0.00 μB/cell
DFT total energy = -118.22 eV/cell

No. 5
This record from Alexandria via LeMat-Bulk describes SmAsP after structural relaxation. The functional is PBE-GGA.

abc: 4.1855 4.1855 7.7442
angles: 90.02 90.02 92.06
Sites, in units of the cell vectors:
Sm1 0.7503 0.7503 0.6742
Sm2 0.2497 0.2497 0.3258
As1 0.0000 0.5000 0.0000
As2 0.5000 0.0000 0.0000
P1 0.7497 0.7497 0.3029
P2 0.2503 0.2503 0.6971

## Properties
Energy of formation from the pure elements = -0.837 eV per atom
Total moment = 0.00 μB/cell
DFT total energy = -34.58 eV/cell

No. 6
This record from Alexandria via LeMat-Bulk describes Sm2AsP after structural relaxation. The functional is PBE-GGA.

abc: 4.1110 4.1110 7.5034
angles: 74.10 74.10 60.00
Sites, in units of the cell vectors:
Sm1 0.0830 0.0830 0.7511
Sm2 0.2505 0.2505 0.2486
As1 0.6676 0.6676 0.9972
P1 0.4989 0.4989 0.5032

## Properties
Energy of formation from the pure elements = -1.371 eV per atom
Total moment = 0.00 μB/cell
DFT total energy = -24.98 eV/cell
Energy relative to the lowest polymorph listed for this composition = 177 meV per atom

No. 7
This record from Alexandria via LeMat-Bulk describes Sm5AsP4 after structural relaxation. The functional is PBE-GGA.

abc: 4.1312 7.1492 9.2334
angles: 75.09 77.07 73.21
Sites, in units of the cell vectors:
Sm1 0.2017 0.9003 0.6962
Sm2 0.7983 0.0997 0.3038
Sm3 0.3976 0.3073 0.8975
Sm4 0.0000 0.5000 0.5000
Sm5 0.6024 0.6927 0.1025
As1 0.0000 0.0000 0.0000
P1 0.5994 0.2011 0.6001
P2 0.2006 0.3976 0.2013
P3 0.7994 0.6024 0.7987
P4 0.4006 0.7989 0.3999

## Properties
Energy of formation from the pure elements = -1.560 eV per atom
Total moment = 0.00 μB/cell
DFT total energy = -65.49 eV/cell

No. 8
This record from Alexandria via LeMat-Bulk describes Sm2AsP after structural relaxation. The functional is PBE-GGA.

abc: 7.2103 7.2044 9.3032
angles: 104.97 105.00 109.42
Sites, in units of the cell vectors:
Sm1 0.6959 0.4403 0.8749
Sm2 0.1791 0.9347 0.8749
Sm3 0.3041 0.5597 0.1251
Sm4 0.8209 0.0653 0.1251
Sm5 0.9403 0.6847 0.3750
Sm6 0.5653 0.8097 0.6250
Sm7 0.0597 0.3153 0.6250
Sm8 0.4347 0.1903 0.3750
As1 0.3132 0.0632 0.6263
As2 0.5618 0.3118 0.1236
As3 0.6868 0.9368 0.3737
As4 0.4382 0.6882 0.8764
P1 0.9370 0.1870 0.8740
P2 0.0630 0.8130 0.1260
P3 0.1880 0.4380 0.3761
P4 0.8120 0.5620 0.6239

## Properties
Energy of formation from the pure elements = -1.547 eV per atom
Total moment = 0.00 μB/cell
DFT total energy = -102.75 eV/cell
Energy relative to the lowest polymorph listed for this composition = 0 meV per atom